[1]
Here is a relaxed CaLaAg2 crystal from the Alexandria database. Energies are from GGA-PBE.

Properties
Polymorph energy (0 for the lowest one) ... 0 kJ/mol of formula units
Formation energy ... -30.2 kJ/mol of atoms

Cell: 7.5296 7.5296 7.5296 Å, 90.00 90.00 90.00°
With the nearest neighbours (Å) after each atom.
Space group Fm-3m (No. 225)
Unique sites:
Ca 0.0000 0.0000 0.0000 x4  8 Ag 3.26
La 0.0000 0.0000 0.5000 x4  8 Ag 3.26
Ag 0.2500 0.2500 0.2500 x8  4 La 3.26, 4 Ca 3.26

=====

[2]
Here is a relaxed Y6CoHg crystal from the Alexandria database. Energies are from GGA-PBE.

Properties
Formation energy ... -2.8 kJ/mol of atoms

Cell: 6.7937 6.7975 7.4031 Å, 90.04 117.26 119.98°
With the nearest neighbours (Å) after each atom.
Space group P-1 (No. 2)
Unique sites:
Y 0.0443 0.0889 0.2611 x2  1 Co 2.62
Y 0.3057 0.7167 0.2611 x2  1 Co 2.62
Y 0.3273 0.5443 0.7389 x2  1 Co 2.62
Co 0.5000 0.5000 0.5000 x1  6 Y 2.62
Hg 0.5000 0.0000 0.0000 x1  6 Y 3.00

=====

[3]
Here is a relaxed TmCo3P2 crystal from the Alexandria database. Energies are from GGA-PBE.

Properties
Polymorph energy (0 for the lowest one) ... 0 kJ/mol of formula units
Formation energy ... -91.7 kJ/mol of atoms

Cell: 3.6647 10.4758 12.0992 Å, 90.00 90.00 90.00°
With the nearest neighbours (Å) after each atom.
Space group Pmmn (No. 59, origin choice 2)
Unique sites:
Tm 0.2500 0.0678 0.2060 x4  6 P 2.78-2.85, 9 Co 2.87-3.04
Tm 0.2500 0.2500 0.4773 x2  6 P 2.82-2.92, 8 Co 2.85-3.08
Co 0.2500 0.1285 0.7093 x4  4 P 2.24-2.33
Co 0.2500 0.2500 0.0140 x2  4 P 2.18-2.22
Co 0.2500 0.5473 0.4309 x4  4 P 2.24-2.36
Co 0.2500 0.5831 0.9944 x4  4 P 2.22-2.29
Co 0.2500 0.7500 0.1596 x2  5 P 2.25-2.51
Co 0.2500 0.7500 0.7030 x2  3 P 2.16-2.23
P 0.2500 0.0970 0.8923 x4  5 Co 2.18-2.29
P 0.2500 0.5619 0.6166 x4  5 Co 2.23-2.29
P 0.2500 0.7500 0.3454 x2  7 Co 2.25-2.36
P 0.2500 0.7500 0.8819 x2  5 Co 2.16-2.22